No. 1
Below is a relaxed structure of YAlGa2Se6, with properties calculated at the GGA-PBE level.

The structure in CIF format:
```
data_YAlGa2Se6
_symmetry_space_group_name_H-M 'P 1'
_symmetry_Int_Tables_number 1
_symmetry_space_group_name_Hall 'P 1'
_cell_length_a 7.116
_cell_length_b 9.058
_cell_length_c 9.058
_cell_angle_alpha 85.43
_cell_angle_beta 75.27
_cell_angle_gamma 75.27
loop_
_atom_site_label
_atom_site_fract_x
_atom_site_fract_y
_atom_site_fract_z
_atom_site_occupancy
Y1 0.250 0.879 0.121 1
Y2 0.750 0.121 0.879 1
Al1 0.250 0.193 0.807 1
Al2 0.750 0.807 0.193 1
Ga1 0.294 0.740 0.602 1
Ga2 0.206 0.398 0.260 1
Ga3 0.706 0.260 0.398 1
Ga4 0.794 0.602 0.740 1
Se1 0.158 0.948 0.814 1
Se2 0.342 0.186 0.052 1
Se3 0.842 0.052 0.186 1
Se4 0.658 0.814 0.948 1
Se5 0.429 0.884 0.373 1
Se6 0.071 0.627 0.116 1
Se7 0.571 0.116 0.627 1
Se8 0.929 0.373 0.884 1
Se9 0.995 0.718 0.539 1
Se10 0.505 0.461 0.282 1
Se11 0.005 0.282 0.461 1
Se12 0.495 0.539 0.718 1
```

Results
symmetry	No. 15
formation energy from raw total energies	-870	meV/atom

=====

No. 2
Below is a relaxed structure of Si2AgRh, with properties calculated at the GGA-PBE level.

The structure in CIF format:
```
data_Si2AgRh
_symmetry_space_group_name_H-M 'P 1'
_symmetry_Int_Tables_number 1
_symmetry_space_group_name_Hall 'P 1'
_cell_length_a 6.546
_cell_length_b 6.546
_cell_length_c 6.546
_cell_angle_alpha 155.63
_cell_angle_beta 145.95
_cell_angle_gamma 42.31
loop_
_atom_site_label
_atom_site_fract_x
_atom_site_fract_y
_atom_site_fract_z
_atom_site_occupancy
Ag1 0.444 0.444 0.000 1
Rh1 0.224 0.724 0.500 1
Si1 0.056 0.056 0.000 1
Si2 0.776 0.276 0.500 1
```

Results
symmetry	No. 44
offset from the most stable computed form	47	meV per atom
formation energy from raw total energies	-122	meV/atom

=====

No. 3
Below is a relaxed structure of Cs2RbYBr, with properties calculated at the GGA-PBE level.

The structure in CIF format:
```
data_Cs2RbYBr
_symmetry_space_group_name_H-M 'P 1'
_symmetry_Int_Tables_number 1
_symmetry_space_group_name_Hall 'P 1'
_cell_length_a 8.204
_cell_length_b 6.007
_cell_length_c 8.204
_cell_angle_alpha 90.00
_cell_angle_beta 90.00
_cell_angle_gamma 90.00
loop_
_atom_site_label
_atom_site_fract_x
_atom_site_fract_y
_atom_site_fract_z
_atom_site_occupancy
Cs1 0.000 0.000 0.500 1
Cs2 0.500 0.000 0.000 1
Y1 0.500 0.500 0.500 1
Br1 0.000 0.500 0.000 1
Rb1 0.000 0.000 0.000 1
```

Results
symmetry	No. 123
formation energy from raw total energies	187	meV/atom

=====

No. 4
Below is a relaxed structure of Fe2ReIr, with properties calculated at the GGA-PBE level.

The structure in CIF format:
```
data_Fe2ReIr
_symmetry_space_group_name_H-M 'P 1'
_symmetry_Int_Tables_number 1
_symmetry_space_group_name_Hall 'P 1'
_cell_length_a 2.792
_cell_length_b 4.485
_cell_length_c 4.380
_cell_angle_alpha 90.00
_cell_angle_beta 90.00
_cell_angle_gamma 90.00
loop_
_atom_site_label
_atom_site_fract_x
_atom_site_fract_y
_atom_site_fract_z
_atom_site_occupancy
Fe1 0.000 0.000 0.000 1
Fe2 0.500 0.500 0.000 1
Ir1 0.500 0.000 0.500 1
Re1 0.000 0.500 0.500 1
```

Results
calculated total energy	-37.46	eV/cell
symmetry	No. 47

=====

No. 5
Below is a relaxed structure of K4MoAu2, with properties calculated at the GGA-PBE level.

The structure in CIF format:
```
data_K4MoAu2
_symmetry_space_group_name_H-M 'P 1'
_symmetry_Int_Tables_number 1
_symmetry_space_group_name_Hall 'P 1'
_cell_length_a 6.604
_cell_length_b 6.604
_cell_length_c 9.378
_cell_angle_alpha 69.38
_cell_angle_beta 69.38
_cell_angle_gamma 90.00
loop_
_atom_site_label
_atom_site_fract_x
_atom_site_fract_y
_atom_site_fract_z
_atom_site_occupancy
Mo1 0.000 0.000 0.000 1
Au1 0.586 0.586 0.828 1
Au2 0.414 0.414 0.172 1
K1 0.781 0.781 0.437 1
K2 0.219 0.219 0.563 1
K3 0.000 0.500 0.000 1
K4 0.500 0.000 0.000 1
```

Results
calculated total energy	-17.03	eV/cell
symmetry	No. 139

=====

No. 6
Below is a relaxed structure of CaPaTl2, with properties calculated at the GGA-PBE level.

The structure in CIF format:
```
data_CaPaTl2
_symmetry_space_group_name_H-M 'P 1'
_symmetry_Int_Tables_number 1
_symmetry_space_group_name_Hall 'P 1'
_cell_length_a 3.432
_cell_length_b 3.432
_cell_length_c 9.218
_cell_angle_alpha 90.00
_cell_angle_beta 90.00
_cell_angle_gamma 90.00
loop_
_atom_site_label
_atom_site_fract_x
_atom_site_fract_y
_atom_site_fract_z
_atom_site_occupancy
Tl1 0.000 0.000 0.750 1
Tl2 0.000 0.000 0.250 1
Pa1 0.500 0.500 0.000 1
Ca1 0.500 0.500 0.500 1
```

Results
symmetry	No. 123
offset from the most stable computed form	0	meV per atom

=====

No. 7
Below is a relaxed structure of Th2Zr2Ni15, with properties calculated at the GGA-PBE level.

The structure in CIF format:
```
data_Th2Zr2Ni15
_symmetry_space_group_name_H-M 'P 1'
_symmetry_Int_Tables_number 1
_symmetry_space_group_name_Hall 'P 1'
_cell_length_a 6.476
_cell_length_b 6.476
_cell_length_c 6.476
_cell_angle_alpha 81.79
_cell_angle_beta 81.79
_cell_angle_gamma 81.79
loop_
_atom_site_label
_atom_site_fract_x
_atom_site_fract_y
_atom_site_fract_z
_atom_site_occupancy
Th1 0.354 0.354 0.354 1
Th2 0.646 0.646 0.646 1
Zr1 0.107 0.107 0.107 1
Zr2 0.893 0.893 0.893 1
Ni1 0.500 0.000 0.000 1
Ni2 0.000 0.000 0.500 1
Ni3 0.000 0.500 0.000 1
Ni4 0.000 0.695 0.305 1
Ni5 0.695 0.305 0.000 1
Ni6 0.305 0.000 0.695 1
Ni7 0.305 0.695 0.000 1
Ni8 0.695 0.000 0.305 1
Ni9 0.000 0.305 0.695 1
Ni10 0.161 0.654 0.654 1
Ni11 0.654 0.654 0.161 1
Ni12 0.654 0.161 0.654 1
Ni13 0.839 0.346 0.346 1
Ni14 0.346 0.346 0.839 1
Ni15 0.346 0.839 0.346 1
```

Results
calculated total energy	-124.87	eV/cell
symmetry	No. 166

=====

No. 8
Below is a relaxed structure of Y6Er2Th, with properties calculated at the GGA-PBE level.

The structure in CIF format:
```
data_Y6Er2Th
_symmetry_space_group_name_H-M 'P 1'
_symmetry_Int_Tables_number 1
_symmetry_space_group_name_Hall 'P 1'
_cell_length_a 7.399
_cell_length_b 7.399
_cell_length_c 7.753
_cell_angle_alpha 61.50
_cell_angle_beta 61.50
_cell_angle_gamma 60.00
loop_
_atom_site_label
_atom_site_fract_x
_atom_site_fract_y
_atom_site_fract_z
_atom_site_occupancy
Y1 0.780 0.265 0.691 1
Y2 0.265 0.780 0.691 1
Y3 0.265 0.265 0.691 1
Y4 0.045 0.616 0.295 1
Y5 0.045 0.045 0.295 1
Y6 0.616 0.045 0.295 1
Er1 0.754 0.754 0.737 1
Er2 0.580 0.580 0.260 1
Th1 0.317 0.317 0.049 1
```

Results
calculated total energy	-51.59	eV/cell
symmetry	No. 160

=====

No. 9
Below is a relaxed structure of CdCuBr4, with properties calculated at the GGA-PBE level.

The structure in CIF format:
```
data_CdCuBr4
_symmetry_space_group_name_H-M 'P 1'
_symmetry_Int_Tables_number 1
_symmetry_space_group_name_Hall 'P 1'
_cell_length_a 6.339
_cell_length_b 6.339
_cell_length_c 6.339
_cell_angle_alpha 60.00
_cell_angle_beta 60.00
_cell_angle_gamma 60.00
loop_
_atom_site_label
_atom_site_fract_x
_atom_site_fract_y
_atom_site_fract_z
_atom_site_occupancy
Cd1 0.750 0.750 0.750 1
Cu1 0.000 0.000 0.000 1
Br1 0.874 0.375 0.375 1
Br2 0.375 0.375 0.874 1
Br3 0.375 0.874 0.375 1
Br4 0.375 0.375 0.375 1
```

Results
symmetry	No. 216
offset from the most stable computed form	1254	meV per atom
formation energy from raw total energies	716	meV/atom

=====

No. 10
Below is a relaxed structure of HoTmSnRu, with properties calculated at the GGA-PBE level.

The structure in CIF format:
```
data_HoTmSnRu
_symmetry_space_group_name_H-M 'P 1'
_symmetry_Int_Tables_number 1
_symmetry_space_group_name_Hall 'P 1'
_cell_length_a 3.368
_cell_length_b 3.368
_cell_length_c 8.080
_cell_angle_alpha 90.00
_cell_angle_beta 90.00
_cell_angle_gamma 90.00
loop_
_atom_site_label
_atom_site_fract_x
_atom_site_fract_y
_atom_site_fract_z
_atom_site_occupancy
Ho1 0.500 0.500 0.777 1
Tm1 0.500 0.500 0.366 1
Sn1 0.000 0.000 0.074 1
Ru1 0.000 0.000 0.568 1
```

Results
symmetry	No. 99
offset from the most stable computed form	0	meV per atom

=====

No. 11
Below is a relaxed structure of OsPt2Cl4, with properties calculated at the GGA-PBE level.

The structure in CIF format:
```
data_OsPt2Cl4
_symmetry_space_group_name_H-M 'P 1'
_symmetry_Int_Tables_number 1
_symmetry_space_group_name_Hall 'P 1'
_cell_length_a 5.059
_cell_length_b 5.059
_cell_length_c 6.889
_cell_angle_alpha 68.46
_cell_angle_beta 68.46
_cell_angle_gamma 90.00
loop_
_atom_site_label
_atom_site_fract_x
_atom_site_fract_y
_atom_site_fract_z
_atom_site_occupancy
Os1 0.000 0.000 0.000 1
Pt1 0.607 0.607 0.785 1
Pt2 0.393 0.393 0.215 1
Cl1 0.805 0.805 0.389 1
Cl2 0.195 0.195 0.611 1
Cl3 0.000 0.500 0.000 1
Cl4 0.500 0.000 0.000 1
```

Results
symmetry	No. 139
formation energy from raw total energies	671	meV/atom

=====

No. 12
Below is a relaxed structure of SmScTlZn, with properties calculated at the GGA-PBE level.

The structure in CIF format:
```
data_SmScTlZn
_symmetry_space_group_name_H-M 'P 1'
_symmetry_Int_Tables_number 1
_symmetry_space_group_name_Hall 'P 1'
_cell_length_a 3.593
_cell_length_b 3.593
_cell_length_c 7.317
_cell_angle_alpha 90.00
_cell_angle_beta 90.00
_cell_angle_gamma 90.00
loop_
_atom_site_label
_atom_site_fract_x
_atom_site_fract_y
_atom_site_fract_z
_atom_site_occupancy
Sm1 0.000 0.000 0.837 1
Sc1 0.000 0.000 0.381 1
Tl1 0.500 0.500 0.133 1
Zn1 0.500 0.500 0.577 1
```

Results
symmetry	No. 99
offset from the most stable computed form	0	meV per atom